VASP calculation (PBE with a Hubbard U) on a geometry-optimized SrAc4Fe3O12 structure.

```
data_SrAc4Fe3O12
_chemical_formula_sum 'Sr2 Ac8 Fe6 O24'
_space_group_name_H-M_alt 'I m -3'
_space_group_IT_number 204
_space_group_name_Hall '-I 2 2 3'
_cell_length_a 8.729
_cell_length_b 8.729
_cell_length_c 8.729
_cell_angle_alpha 90.00
_cell_angle_beta 90.00
_cell_angle_gamma 90.00
loop_
_atom_site_label
_atom_site_fract_x
_atom_site_fract_y
_atom_site_fract_z
Sr1 0.000 0.000 0.000
Ac1 0.250 0.250 0.250
Fe1 0.000 0.000 0.500
O1 0.000 0.337 0.144
```

Output
Its crystal system is cubic. For the uncorrected energy, the calculation gives -6.955 eV/atom.